Compound: Rb4Pu3NiO12
Source: Alexandria via LeMat-Bulk
Functional: GGA+U
Structure: relaxed

Summary:
Theoretical density   7.107 g/cm3
Total magnetic moment   8.00 μB per cell
SG   Im-3m, No. 229
E_tot   -152.96 eV/cell
Fermi-level density of states   4.0 states/eV/f.u.

Structure (POSCAR):
```
Rb4Pu3NiO12
1.0
-4.2610 4.2610 4.2610
4.2610 -4.2610 4.2610
4.2610 4.2610 -4.2610
Rb Pu Ni O
4 3 1 12
direct
0.0000 0.0000 0.5000 Rb
0.0000 0.5000 0.0000 Rb
0.5000 0.0000 0.0000 Rb
0.5000 0.5000 0.5000 Rb
0.0000 0.5000 0.5000 Pu
0.5000 0.0000 0.5000 Pu
0.5000 0.5000 0.0000 Pu
0.0000 0.0000 0.0000 Ni
0.0000 0.2674 0.2674 O
0.0000 0.7326 0.7326 O
0.2500 0.5000 0.7500 O
0.2500 0.7500 0.5000 O
0.2674 0.0000 0.2674 O
0.2674 0.2674 0.0000 O
0.5000 0.2500 0.7500 O
0.5000 0.7500 0.2500 O
0.7326 0.0000 0.7326 O
0.7326 0.7326 0.0000 O
0.7500 0.2500 0.5000 O
0.7500 0.5000 0.2500 O
```